[1]
Entry from Alexandria: MnGa6Br12 after structural relaxation (PBE).

Cell: 7.557 8.708 11.127 Å, 97.35 97.31 101.69°
Fractional coordinates of all 19 atoms:
1 Mn 0.000 0.000 0.000
2 Ga 0.134 0.482 0.132
3 Ga 0.253 0.296 0.705
4 Ga 0.365 0.885 0.816
5 Ga 0.635 0.115 0.184
6 Ga 0.747 0.704 0.295
7 Ga 0.866 0.518 0.868
8 Br 0.027 0.639 0.363
9 Br 0.059 0.186 0.214
10 Br 0.257 0.241 0.915
11 Br 0.276 0.871 0.066
12 Br 0.308 0.079 0.583
13 Br 0.495 0.525 0.721
14 Br 0.505 0.475 0.279
15 Br 0.692 0.921 0.417
16 Br 0.724 0.129 0.934
17 Br 0.743 0.759 0.085
18 Br 0.941 0.814 0.786
19 Br 0.973 0.361 0.637

Summary:
Size of the total moment ... 5.00 μB/f.u.
VASP energy ... -3.1807 eV/atom
Formation energy without anion corrections ... -0.686 eV per atom

[2]
Entry from Alexandria: MnGaBr2 after structural relaxation (PBE).

Cell: 5.104 5.104 5.104 Å, 60.00 60.00 60.00°
Fractional coordinates of all 4 atoms:
1 Mn 0.000 0.000 0.000
2 Ga 0.500 0.500 0.500
3 Br 0.250 0.250 0.250
4 Br 0.750 0.750 0.750

Summary:
Size of the total moment ... 4.55 μB/f.u.
VASP energy ... -3.8764 eV/atom
Formation energy without anion corrections ... 0.009 eV per atom
Energy above the lowest structure with this stoichiometry ... 286.5 meV per atom

[3]
Entry from Alexandria: MnGaBr5 after structural relaxation (PBE).

Cell: 7.367 7.367 9.864 Å, 109.50 109.50 90.56°
Fractional coordinates of all 14 atoms:
1 Mn 0.000 0.000 0.000
2 Mn 0.000 0.000 0.500
3 Ga 0.379 0.621 0.750
4 Ga 0.621 0.379 0.250
5 Br 0.073 0.927 0.250
6 Br 0.250 0.728 0.540
7 Br 0.272 0.750 0.960
8 Br 0.273 0.331 0.156
9 Br 0.331 0.273 0.656
10 Br 0.669 0.727 0.344
11 Br 0.727 0.669 0.844
12 Br 0.728 0.250 0.040
13 Br 0.750 0.272 0.460
14 Br 0.927 0.073 0.750

Summary:
Size of the total moment ... 5.00 μB/f.u.
VASP energy ... -3.6781 eV/atom
Formation energy without anion corrections ... -0.741 eV per atom

[4]
Entry from Alexandria: MnGaBr2 after structural relaxation (PBE).

Cell: 9.216 9.216 9.216 Å, 24.99 24.99 24.99°
Fractional coordinates of all 4 atoms:
1 Mn 0.000 0.000 0.000
2 Ga 0.500 0.500 0.500
3 Br 0.089 0.089 0.089
4 Br 0.911 0.911 0.911

Summary:
Size of the total moment ... 4.05 μB/f.u.
VASP energy ... -3.9906 eV/atom
Formation energy without anion corrections ... -0.105 eV per atom
Energy above the lowest structure with this stoichiometry ... 172.3 meV per atom